[1]
Entry from Alexandria via LeMat-Bulk: Tb5Sc12Ag3 after structural relaxation (PBE).

Properties
- VASP energy (eV/cell) = -359.57
- density of states at the Fermi level (states/eV/cell) = 142.20
- calculated density (Mg/m³) = 4.3

Cell: 14.897 14.897 14.897 Å, 109.47 109.47 109.47°
Atoms (fractional coordinates):
Tb 0.000 0.000 0.000
Tb 0.000 0.000 0.500
Tb 0.000 0.500 0.000
Tb 0.000 0.500 0.500
Tb 0.125 0.750 0.875
Tb 0.125 0.875 0.250
Tb 0.250 0.125 0.875
Tb 0.250 0.625 0.375
Tb 0.375 0.250 0.625
Tb 0.375 0.625 0.750
Tb 0.500 0.000 0.000
Tb 0.500 0.000 0.500
Tb 0.500 0.500 0.000
Tb 0.500 0.500 0.500
Tb 0.625 0.375 0.250
Tb 0.625 0.750 0.375
Tb 0.750 0.375 0.625
Tb 0.750 0.875 0.125
Tb 0.875 0.125 0.750
Tb 0.875 0.250 0.125
Sc 0.055 0.643 0.406
Sc 0.055 0.912 0.649
Sc 0.088 0.237 0.143
Sc 0.088 0.351 0.945
Sc 0.094 0.737 0.649
Sc 0.094 0.857 0.445
Sc 0.143 0.088 0.237
Sc 0.143 0.555 0.906
Sc 0.149 0.237 0.594
Sc 0.149 0.412 0.555
Sc 0.237 0.143 0.088
Sc 0.237 0.594 0.149
Sc 0.263 0.351 0.906
Sc 0.263 0.412 0.357
Sc 0.351 0.906 0.263
Sc 0.351 0.945 0.088
Sc 0.357 0.263 0.412
Sc 0.357 0.594 0.945
Sc 0.406 0.055 0.643
Sc 0.406 0.851 0.763
Sc 0.412 0.357 0.263
Sc 0.412 0.555 0.149
Sc 0.445 0.094 0.857
Sc 0.445 0.851 0.588
Sc 0.555 0.149 0.412
Sc 0.555 0.906 0.143
Sc 0.588 0.445 0.851
Sc 0.588 0.643 0.737
Sc 0.594 0.149 0.237
Sc 0.594 0.945 0.357
Sc 0.643 0.406 0.055
Sc 0.643 0.737 0.588
Sc 0.649 0.055 0.912
Sc 0.649 0.094 0.737
Sc 0.737 0.588 0.643
Sc 0.737 0.649 0.094
Sc 0.763 0.406 0.851
Sc 0.763 0.857 0.912
Sc 0.851 0.588 0.445
Sc 0.851 0.763 0.406
Sc 0.857 0.445 0.094
Sc 0.857 0.912 0.763
Sc 0.906 0.143 0.555
Sc 0.906 0.263 0.351
Sc 0.912 0.649 0.055
Sc 0.912 0.763 0.857
Sc 0.945 0.088 0.351
Sc 0.945 0.357 0.594
Ag 0.125 0.250 0.375
Ag 0.125 0.375 0.750
Ag 0.250 0.375 0.125
Ag 0.250 0.875 0.625
Ag 0.375 0.125 0.250
Ag 0.375 0.750 0.125
Ag 0.625 0.250 0.875
Ag 0.625 0.875 0.750
Ag 0.750 0.125 0.375
Ag 0.750 0.625 0.875
Ag 0.875 0.625 0.250
Ag 0.875 0.750 0.625

[2]
Entry from Alexandria via LeMat-Bulk: Ce3Ge2Rh3 after structural relaxation (PBE).

Properties
- VASP energy (eV/cell) = -223.54
- density of states at the Fermi level (states/eV/cell) = 50.63
- ΔE to the lowest computed polymorph (meV/atom) = 0
- calculated density (Mg/m³) = 8.8

Cell: 7.732 15.054 5.657 Å, 90.00 90.00 90.00°
Atoms (fractional coordinates):
Ce 0.034 0.106 0.150
Ce 0.034 0.394 0.150
Ce 0.168 0.250 0.614
Ce 0.332 0.750 0.114
Ce 0.466 0.606 0.650
Ce 0.466 0.894 0.650
Ce 0.534 0.106 0.350
Ce 0.534 0.394 0.350
Ce 0.668 0.250 0.886
Ce 0.832 0.750 0.386
Ce 0.966 0.606 0.850
Ce 0.966 0.894 0.850
Ge 0.119 0.608 0.346
Ge 0.119 0.892 0.346
Ge 0.381 0.108 0.846
Ge 0.381 0.392 0.846
Ge 0.619 0.608 0.154
Ge 0.619 0.892 0.154
Ge 0.881 0.108 0.654
Ge 0.881 0.392 0.654
Rh 0.169 0.032 0.588
Rh 0.169 0.468 0.588
Rh 0.197 0.750 0.620
Rh 0.303 0.250 0.120
Rh 0.331 0.532 0.088
Rh 0.331 0.968 0.088
Rh 0.669 0.032 0.912
Rh 0.669 0.468 0.912
Rh 0.697 0.750 0.880
Rh 0.803 0.250 0.380
Rh 0.831 0.532 0.412
Rh 0.831 0.968 0.412